(1)
Material: Pd3PbCl
Method: DFT, GGA-PBE
State: relaxed

a b c (Å): 4.6939 4.6939 4.6939
angles (deg): 90.00 90.00 90.00
Fractional positions:
Pd: 0.0000 0.0000 0.5000
Pd: 0.0000 0.5000 0.0000
Pd: 0.5000 0.0000 0.0000
Pb: 0.5000 0.5000 0.5000
Cl: 0.0000 0.0000 0.0000

Values from the calculation:
Polymorph energy (0 for the lowest one) (eV per formula unit): 0.000
Density of states at the Fermi level (states/eV/f.u.): 2.591

---

(2)
Material: Pd2PbCl6
Method: DFT, GGA-PBE
State: relaxed

a b c (Å): 7.7914 7.7914 7.7914
angles (deg): 54.78 54.78 54.78
Fractional positions:
Pd: 0.0000 0.0000 0.0000
Pd: 0.1374 0.1374 0.1374
Pb: 0.7305 0.7305 0.7305
Cl: 0.1258 0.4892 0.8431
Cl: 0.3079 0.9963 0.6585
Cl: 0.4892 0.8431 0.1258
Cl: 0.6585 0.3079 0.9963
Cl: 0.8431 0.1258 0.4892
Cl: 0.9963 0.6585 0.3079

Values from the calculation:
Polymorph energy (0 for the lowest one) (eV per formula unit): 2.173
Density of states at the Fermi level (states/eV/f.u.): 7.693

---

(3)
Material: Pd2PbCl
Method: DFT, GGA-PBE
State: relaxed

a b c (Å): 6.0239 6.0239 6.0239
angles (deg): 104.23 104.23 120.55
Fractional positions:
Pd: 0.1130 0.1250 0.4880
Pd: 0.3750 0.8870 0.0120
Pd: 0.6370 0.6250 0.5120
Pd: 0.8750 0.3630 0.9880
Pb: 0.2500 0.7500 0.5000
Pb: 0.5000 0.5000 0.0000
Cl: 0.0000 0.0000 0.0000
Cl: 0.7500 0.2500 0.5000

Values from the calculation:
Polymorph energy (0 for the lowest one) (eV per formula unit): 0.265
Density of states at the Fermi level (states/eV/f.u.): 3.164

---

(4)
Material: PdPb3Cl
Method: DFT, GGA-PBE
State: relaxed

a b c (Å): 5.4263 5.4263 5.4263
angles (deg): 90.00 90.00 90.00
Fractional positions:
Pd: 0.0000 0.0000 0.0000
Pb: 0.0000 0.0000 0.5000
Pb: 0.0000 0.5000 0.0000
Pb: 0.5000 0.0000 0.0000
Cl: 0.5000 0.5000 0.5000

Values from the calculation:
Polymorph energy (0 for the lowest one) (eV per formula unit): 0.000
Density of states at the Fermi level (states/eV/f.u.): 2.840

---

(5)
Material: PdPb2Cl
Method: DFT, GGA-PBE
State: relaxed

a b c (Å): 8.3601 8.3601 8.3601
angles (deg): 136.12 136.12 63.80
Fractional positions:
Pd: 0.0000 0.0000 0.0000
Pd: 0.7500 0.2500 0.5000
Pb: 0.0771 0.6250 0.9521
Pb: 0.3750 0.3271 0.4521
Pb: 0.6729 0.1250 0.0479
Pb: 0.8750 0.9229 0.5479
Cl: 0.2500 0.7500 0.5000
Cl: 0.5000 0.5000 0.0000

Values from the calculation:
Polymorph energy (0 for the lowest one) (eV per formula unit): 0.844
Density of states at the Fermi level (states/eV/f.u.): 2.082

---

(6)
Material: Pd2PbCl6
Method: DFT, GGA-PBE
State: relaxed

a b c (Å): 8.6138 8.6138 7.6141
angles (deg): 105.18 105.18 76.52
Fractional positions:
Pd: 0.2311 0.2498 0.3525
Pd: 0.2498 0.2311 0.8525
Pd: 0.7502 0.7689 0.1475
Pd: 0.7689 0.7502 0.6475
Pb: 0.3436 0.6564 0.7500
Pb: 0.6564 0.3436 0.2500
Cl: 0.0181 0.7835 0.8471
Cl: 0.1133 0.3628 0.6093
Cl: 0.2165 0.9819 0.6529
Cl: 0.3146 0.4792 0.0421
Cl: 0.3628 0.1133 0.1093
Cl: 0.4792 0.3146 0.5421
Cl: 0.5208 0.6854 0.4579
Cl: 0.6372 0.8867 0.8907
Cl: 0.6854 0.5208 0.9579
Cl: 0.7835 0.0181 0.3471
Cl: 0.8867 0.6372 0.3907
Cl: 0.9819 0.2165 0.1529

Values from the calculation:
Polymorph energy (0 for the lowest one) (eV per formula unit): 0.000

---

(7)
Material: PdPbCl4
Method: DFT, GGA-PBE
State: relaxed

a b c (Å): 6.1118 6.1118 6.1118
angles (deg): 111.00 111.00 106.45
Fractional positions:
Pd: 0.0000 0.0000 0.0000
Pb: 0.7500 0.2500 0.5000
Cl: 0.2360 0.7626 0.9974
Cl: 0.2374 0.2349 0.4734
Cl: 0.7615 0.7640 0.5266
Cl: 0.7651 0.2385 0.0026

Values from the calculation:
Polymorph energy (0 for the lowest one) (eV per formula unit): 0.000

---

(8)
Material: PdPb2Cl7
Method: DFT, GGA-PBE
State: relaxed

a b c (Å): 10.7355 10.7355 9.3762
angles (deg): 115.62 115.62 39.44
Fractional positions:
Pd: 0.1578 0.8422 0.7500
Pd: 0.8422 0.1578 0.2500
Pb: 0.0334 0.6537 0.9239
Pb: 0.3463 0.9666 0.5761
Pb: 0.6537 0.0334 0.4239
Pb: 0.9666 0.3463 0.0761
Cl: 0.0704 0.7501 0.4839
Cl: 0.1653 0.8347 0.2500
Cl: 0.2192 0.2392 0.8614
Cl: 0.2392 0.2192 0.3614
Cl: 0.2499 0.9296 0.0161
Cl: 0.3183 0.5374 0.8061
Cl: 0.4626 0.6817 0.6939
Cl: 0.5374 0.3183 0.3061
Cl: 0.6817 0.4626 0.1939
Cl: 0.7501 0.0704 0.9839
Cl: 0.7608 0.7808 0.6386
Cl: 0.7808 0.7608 0.1386
Cl: 0.8347 0.1653 0.7500
Cl: 0.9296 0.2499 0.5161

Values from the calculation:
Density of states at the Fermi level (states/eV/f.u.): 0.250

---

(9)
Material: PdPb3Cl
Method: DFT, GGA-PBE
State: relaxed

a b c (Å): 5.4461 5.4461 5.4461
angles (deg): 90.00 90.00 90.00
Fractional positions:
Pd: 0.0000 0.0000 0.0000
Pb: 0.0000 0.5000 0.5000
Pb: 0.5000 0.0000 0.5000
Pb: 0.5000 0.5000 0.0000
Cl: 0.5000 0.5000 0.5000

Values from the calculation:
Polymorph energy (0 for the lowest one) (eV per formula unit): 2.753
Density of states at the Fermi level (states/eV/f.u.): 6.665

---

(10)
Material: PdPb2Cl
Method: DFT, GGA-PBE
State: relaxed

a b c (Å): 3.4693 3.4693 8.0405
angles (deg): 90.00 90.00 90.00
Fractional positions:
Pd: 0.0000 0.0000 0.0000
Pb: 0.5000 0.5000 0.2221
Pb: 0.5000 0.5000 0.7779
Cl: 0.0000 0.0000 0.5000

Values from the calculation:
Polymorph energy (0 for the lowest one) (eV per formula unit): 0.000
Density of states at the Fermi level (states/eV/f.u.): 1.111

---

(11)
Material: PdPtPb2Cl
Method: DFT, GGA-PBE
State: relaxed

a b c (Å): 5.5233 5.5233 4.4855
angles (deg): 90.00 90.00 90.00
Fractional positions:
Pd: 0.0000 0.0000 0.0000
Pt: 0.5000 0.5000 0.0000
Pb: 0.0000 0.5000 0.5000
Pb: 0.5000 0.0000 0.5000
Cl: 0.5000 0.5000 0.5000

Values from the calculation:
Density of states at the Fermi level (states/eV/f.u.): 3.451

---

(12)
Material: Rb3Pd2PbCl9
Method: DFT, GGA-PBE
State: relaxed

a b c (Å): 7.3212 7.3212 9.1137
angles (deg): 90.00 90.00 120.00
Fractional positions:
Rb: 0.0000 0.0000 0.0000
Rb: 0.3333 0.6667 0.6856
Rb: 0.6667 0.3333 0.3144
Pd: 0.3333 0.6667 0.1495
Pd: 0.6667 0.3333 0.8505
Pb: 0.0000 0.0000 0.5000
Cl: 0.0000 0.5000 0.0000
Cl: 0.1744 0.3488 0.3142
Cl: 0.1744 0.8256 0.3142
Cl: 0.3488 0.1744 0.6858
Cl: 0.5000 0.0000 0.0000
Cl: 0.5000 0.5000 0.0000
Cl: 0.6512 0.8256 0.3142
Cl: 0.8256 0.1744 0.6858
Cl: 0.8256 0.6512 0.6858

Values from the calculation:
Density of states at the Fermi level (states/eV/f.u.): 1.712

---

| no. | formation energy (no corrections) (meV/atom) |
| --- | --- |
| 1 | 220 |
| 2 | -381 |
| 3 | -29 |
| 4 | -82 |
| 5 | -181 |
| 6 | -622 |
| 7 | -782 |
| 8 | -755 |
| 9 | 469 |
| 10 | -392 |
| 11 | 567 |
| 12 | -1188 |